The following is a GGA-PBE calculation of a geometry-optimized K4Pd structure, from the Alexandria database.

a b c (Å): 10.106 10.106 10.106
angles (deg): 126.48 66.85 143.01
Fractional positions:
1 K 0.072 0.699 0.771
2 K 0.164 0.128 0.293
3 K 0.336 0.628 0.964
4 K 0.428 0.199 0.627
5 K 0.572 0.801 0.373
6 K 0.664 0.372 0.036
7 K 0.836 0.872 0.707
8 K 0.928 0.301 0.229
9 Pd 0.250 0.250 0.000
10 Pd 0.750 0.750 0.000

Summary:
* total magnetization: 0.000 μB per atom
* symmetry: Ibam, No. 72
* distance to the lowest polymorph of the same formula: 0 meV/atom
* crystal system: orthorhombic